No. 1
An optimized crystal structure of SrCa2Hg7, computed with GGA-PBE.

As for the energy relative to the elements: -3.51 eV/f.u. The value obtained for the size of the total moment is 0.00 Bohr magnetons per cell. Its space group is No. 156.

abc: 5.179 5.179 12.324
angles: 90.00 90.00 120.00
Fractional positions:
1 Sr 0.000 0.000 0.000
2 Ca 0.333 0.667 0.639
3 Ca 0.667 0.333 0.430
4 Hg 0.000 0.000 0.292
5 Hg 0.000 0.000 0.559
6 Hg 0.333 0.667 0.129
7 Hg 0.333 0.667 0.376
8 Hg 0.333 0.667 0.881
9 Hg 0.667 0.333 0.155
10 Hg 0.667 0.333 0.766

No. 2
An optimized crystal structure of Ba4GePI2, computed with GGA-PBE.

The value obtained for the size of the total moment is 0.85 Bohr magnetons per cell. The total energy is -3.774 eV per atom. Its space group is No. 10.

abc: 8.515 4.743 8.910
angles: 90.00 107.59 90.00
Fractional positions:
1 Ba 0.226 0.000 0.201
2 Ba 0.253 0.500 0.792
3 Ba 0.747 0.500 0.208
4 Ba 0.774 0.000 0.799
5 Ge 0.500 0.000 0.000
6 P 0.000 0.500 0.000
7 I 0.000 0.000 0.500
8 I 0.500 0.500 0.500

No. 3
An optimized crystal structure of Mn2ZnBr, computed with GGA-PBE.

The value obtained for the size of the total moment is 7.00 Bohr magnetons per cell. Its space group is No. 216. The energy above the lowest structure with this stoichiometry is 596.6 meV per atom.

abc: 4.605 4.605 4.605
angles: 60.00 60.00 60.00
Fractional positions:
1 Mn 0.000 0.000 0.000
2 Mn 0.250 0.250 0.250
3 Zn 0.750 0.750 0.750
4 Br 0.500 0.500 0.500

No. 4
An optimized crystal structure of RbBeRu2Rh, computed with GGA-PBE.

As for the energy relative to the elements: 15.38 eV/f.u. The value obtained for the size of the total moment is 2.92 Bohr magnetons per cell. Its space group is No. 123.

abc: 4.751 4.751 4.742
angles: 90.00 90.00 90.00
Fractional positions:
1 Rb 0.000 0.000 0.000
2 Be 0.500 0.500 0.500
3 Ru 0.000 0.500 0.000
4 Ru 0.500 0.000 0.000
5 Rh 0.000 0.000 0.500

No. 5
An optimized crystal structure of CaTeHF, computed with GGA-PBE.

The value obtained for the size of the total moment is 0.00 Bohr magnetons per cell. Its space group is No. 1. The energy above the lowest structure with this stoichiometry is 77.4 meV per atom.

abc: 4.041 4.049 6.089
angles: 92.55 107.40 118.66
Fractional positions:
1 Ca 0.000 0.000 0.000
2 Te 0.365 0.217 0.575
3 H 0.122 0.459 0.584
4 F 0.366 0.692 0.058

No. 6
An optimized crystal structure of Ta2AlRh, computed with GGA-PBE.

As for the energy relative to the elements: -1.37 eV/f.u. The value obtained for the size of the total moment is 0.00 Bohr magnetons per cell. Its space group is No. 8.

abc: 5.181 5.181 4.820
angles: 110.66 110.66 33.09
Fractional positions:
1 Ta 0.000 0.000 0.000
2 Ta 0.239 0.239 0.806
3 Al 0.471 0.471 0.477
4 Rh 0.744 0.744 0.331

No. 7
An optimized crystal structure of BaYCuRh2, computed with GGA-PBE.

As for the energy relative to the elements: 1.22 eV/f.u. The value obtained for the size of the total moment is 0.00 Bohr magnetons per cell. Its space group is No. 123.

abc: 4.972 4.972 4.792
angles: 90.00 90.00 90.00
Fractional positions:
1 Ba 0.000 0.000 0.000
2 Y 0.500 0.500 0.000
3 Cu 0.500 0.500 0.500
4 Rh 0.000 0.500 0.500
5 Rh 0.500 0.000 0.500

No. 8
An optimized crystal structure of KZn2B2, computed with GGA-PBE.

As for the energy relative to the elements: 3.94 eV/f.u. The value obtained for the size of the total moment is 0.00 Bohr magnetons per cell. Its space group is No. 139. The energy above the lowest structure with this stoichiometry is 0.0 meV per atom.

abc: 6.276 6.276 6.276
angles: 142.52 142.52 54.05
Fractional positions:
1 K 0.000 0.000 0.000
2 Zn 0.318 0.318 0.000
3 Zn 0.682 0.682 0.000
4 B 0.250 0.750 0.500
5 B 0.750 0.250 0.500

No. 9
An optimized crystal structure of Ho2ZnI2, computed with GGA-PBE.

The value obtained for the size of the total moment is 0.00 Bohr magnetons per cell. The total energy is -3.533 eV per atom. Its space group is No. 166.

abc: 12.266 12.266 12.266
angles: 18.92 18.92 18.92
Fractional positions:
1 Ho 0.117 0.117 0.117
2 Ho 0.883 0.883 0.883
3 Zn 0.500 0.500 0.500
4 I 0.274 0.274 0.274
5 I 0.726 0.726 0.726

No. 10
An optimized crystal structure of PaNbCu4, computed with GGA-PBE.

As for the energy relative to the elements: 0.15 eV/f.u. The value obtained for the size of the total moment is 0.00 Bohr magnetons per cell. Its space group is No. 216.

abc: 5.040 5.040 5.040
angles: 60.00 60.00 60.00
Fractional positions:
1 Pa 0.000 0.000 0.000
2 Nb 0.250 0.250 0.250
3 Cu 0.129 0.624 0.624
4 Cu 0.624 0.129 0.624
5 Cu 0.624 0.624 0.129
6 Cu 0.624 0.624 0.624

No. 11
An optimized crystal structure of TiPb2Cl8, computed with GGA-PBE.

The value obtained for the size of the total moment is 0.00 Bohr magnetons per cell. The total energy is -4.014 eV per atom. Its space group is No. 12.

abc: 8.183 8.183 7.054
angles: 90.94 90.94 45.90
Fractional positions:
1 Ti 0.000 0.000 0.000
2 Pb 0.139 0.139 0.469
3 Pb 0.861 0.861 0.531
4 Cl 0.157 0.157 0.071
5 Cl 0.228 0.728 0.236
6 Cl 0.272 0.772 0.764
7 Cl 0.314 0.314 0.555
8 Cl 0.686 0.686 0.445
9 Cl 0.728 0.228 0.236
10 Cl 0.772 0.272 0.764
11 Cl 0.843 0.843 0.929

No. 12
An optimized crystal structure of RbTc3Cl, computed with GGA-PBE.

The value obtained for the size of the total moment is 10.84 Bohr magnetons per cell. Its space group is No. 221. The energy above the lowest structure with this stoichiometry is 1629.6 meV per atom.

abc: 5.305 5.305 5.305
angles: 90.00 90.00 90.00
Fractional positions:
1 Rb 0.000 0.000 0.000
2 Tc 0.000 0.000 0.500
3 Tc 0.000 0.500 0.000
4 Tc 0.500 0.000 0.000
5 Cl 0.500 0.500 0.500